16
Lattice="-6.518 -3.584 -0.870 4.536 -5.764 -1.515 0.955 3.332 5.098" Properties=species:S:1:pos:R:3 comment="KLi2TeO4 (PBE, relaxed)" e_form_raw_ev_per_atom=-1.290 pbc="T T T"
K -3.773 -4.800 0.921
K 2.268 -2.882 -0.758
Li -0.991 -4.674 -1.193
Li 0.477 1.666 2.549
Li -3.259 -1.792 -0.435
Li -2.782 -0.126 2.114
Te -5.564 -0.252 4.228
Te -0.514 -3.008 1.356
O -2.419 -2.478 1.230
O -3.627 -0.480 3.877
O 2.599 -5.536 -1.165
O -1.666 -7.292 -1.751
O -1.072 -5.016 0.736
O 0.638 1.276 4.463
O 1.391 -3.538 1.483
O 0.044 -0.999 1.977

=====

8
Lattice="-5.165 3.048 1.954 -3.064 -1.879 -5.184 2.367 -5.307 4.360" Properties=species:S:1:pos:R:3 comment="NbAg2HgSe4 (PBE, relaxed)" e_form_raw_ev_per_atom=-0.292 pbc="T T T"
Se -3.170 -3.294 1.341
Se -5.017 0.528 0.666
Se -4.073 -1.686 -2.542
Se 0.536 -3.821 2.795
Hg -0.002 -0.006 0.003
Nb -1.747 -4.720 2.744
Ag -2.406 -3.302 -1.219
Ag -3.457 -0.838 2.350

=====

4
Lattice="4.326 -0.001 0.004 3.521 2.514 0.004 0.889 0.285 4.432" Properties=species:S:1:pos:R:3 comment="SiNi2Os (PBE, relaxed)" e_form_raw_ev_per_atom=-0.135 pbc="T T T"
Ni 8.678 2.778 4.426
Ni 6.562 2.101 3.442
Os 4.396 1.407 2.197
Si 2.207 0.707 1.037

=====

8
Lattice="-0.996 -6.846 -2.654 5.345 1.160 -4.998 3.984 -3.772 -2.107" Properties=species:S:1:pos:R:3 comment="TlTc2Ru (PBE, relaxed)" polymorph_energy_kcal_per_mol_atoms=12.56 formation_energy_mev_per_atom=944 pbc="T T T"
Tc 1.095 -4.711 -2.669
Tc 4.159 -1.439 -4.124
Tc 6.508 -7.866 -8.009
Tc 4.904 -4.899 -4.717
Tl 2.581 -6.730 -4.294
Tl 0.000 0.000 0.000
Ru 2.175 -2.843 -3.826
Ru 5.752 -2.728 -5.466

=====

| no. | density of states at the Fermi level (states/eV per cell) |
| --- | --- |
| 1 | 2.537 |
| 2 | 2.143 |
| 3 | 3.563 |
| 4 | 12.581 |